No. 1
Here is crystalline Sb3HRu at its relaxed geometry from the Alexandria database. Energies are from PBE.

extended XYZ file:
```
5
Lattice="4.539 0.000 0.000 0.000 4.539 0.000 0.000 0.000 4.539" Properties=species:S:1:pos:R:3 pbc="T T T"
Sb 0.000 2.269 0.000
Sb 0.000 0.000 2.269
Sb 2.269 0.000 0.000
H 0.000 0.000 0.000
Ru 2.269 2.269 2.269
```

Calculated values
Fermi-level density of states   2.1 states/eV/cell
SG   Pm-3m, No. 221
Offset from the most stable computed form   0 meV per atom

=====

No. 2
Here is crystalline BaPRuCl2 at its relaxed geometry from the Alexandria database. Energies are from PBE.

extended XYZ file:
```
5
Lattice="5.822 0.000 0.000 0.000 5.822 0.000 0.000 0.000 6.426" Properties=species:S:1:pos:R:3 pbc="T T T"
Ru 2.911 2.911 3.213
Ba 0.000 0.000 0.000
P 0.000 0.000 3.213
Cl 0.000 2.911 0.000
Cl 2.911 0.000 0.000
```

Calculated values
Fermi-level density of states   4.0 states/eV/cell
SG   P4/mmm, No. 123
Raw formation energy   542 meV per atom
Offset from the most stable computed form   1399 meV per atom

=====

No. 3
Here is crystalline AuSBrN2 at its relaxed geometry from the Alexandria database. Energies are from PBE.

extended XYZ file:
```
5
Lattice="-1.571 1.674 2.943 1.133 -2.797 2.196 6.258 3.564 1.312" Properties=species:S:1:pos:R:3 pbc="T T T"
S 3.129 1.782 0.656
Au 2.910 1.220 3.226
Br 0.000 0.000 0.000
N 0.566 -1.399 1.098
N -0.785 0.837 1.471
```

Calculated values
Fermi-level density of states   5.1 states/eV/cell
SG   P4/mmm, No. 123
Raw formation energy   2114 meV per atom
Offset from the most stable computed form   270 meV per atom